Run w
VASP calculation (PBE) on a geometry-optimized ZrGeRh3 structure.

Computed properties:
Density ... 8.84 g cm⁻³

Geometry as CIF:
```
data_ZrGeRh3
_chemical_formula_sum 'Zr8 Ge8 Rh24'
_space_group_name_H-M_alt 'C m c m'
_space_group_IT_number 63
_space_group_name_Hall '-C 2c 2'
_cell_length_a 8.913
_cell_length_b 8.819
_cell_length_c 9.030
_cell_angle_alpha 90.00
_cell_angle_beta 90.00
_cell_angle_gamma 90.00
loop_
_atom_site_label
_atom_site_fract_x
_atom_site_fract_y
_atom_site_fract_z
Zr1 0.000 0.021 0.250
Zr2 0.000 0.417 0.750
Ge1 0.250 0.250 0.000
Rh1 0.000 0.161 0.512
Rh2 0.154 0.500 0.000
Rh3 0.155 0.301 0.250
```

---

Run x
VASP calculation (PBE) on a geometry-optimized ZrGeRh3 structure.

Computed properties:
Density ... 8.55 g cm⁻³

Geometry as CIF:
```
data_ZrGeRh3
_chemical_formula_sum 'Zr1 Ge1 Rh3'
_space_group_name_H-M_alt 'P m -3 m'
_space_group_IT_number 221
_space_group_name_Hall '-P 4 2 3'
_cell_length_a 4.510
_cell_length_b 4.510
_cell_length_c 4.510
_cell_angle_alpha 90.00
_cell_angle_beta 90.00
_cell_angle_gamma 90.00
loop_
_atom_site_label
_atom_site_fract_x
_atom_site_fract_y
_atom_site_fract_z
Zr1 0.000 0.000 0.000
Ge1 0.500 0.500 0.500
Rh1 0.000 0.500 0.500
```

---

The least stable of them is run x.

---

Run w
VASP calculation (PBE) on a geometry-optimized ScGeRu2S structure.

Computed properties:
Density ... 5.42 g cm⁻³

Geometry as CIF:
```
data_ScGeRu2S
_chemical_formula_sum 'Sc1 Ge1 Ru2 S1'
_space_group_name_H-M_alt 'P 4/m m m'
_space_group_IT_number 123
_space_group_name_Hall '-P 4 2'
_cell_length_a 4.796
_cell_length_b 4.796
_cell_length_c 4.687
_cell_angle_alpha 90.00
_cell_angle_beta 90.00
_cell_angle_gamma 90.00
loop_
_atom_site_label
_atom_site_fract_x
_atom_site_fract_y
_atom_site_fract_z
Sc1 0.000 0.000 0.000
Ge1 0.500 0.500 0.500
Ru1 0.000 0.500 0.000
S1 0.000 0.000 0.500
```

---

Run x
VASP calculation (PBE) on a geometry-optimized ScGeRu2S structure.

Computed properties:
Density ... 6.39 g cm⁻³

Geometry as CIF:
```
data_ScGeRu2S
_chemical_formula_sum 'Sc1 Ge1 Ru2 S1'
_space_group_name_H-M_alt 'P 4/m m m'
_space_group_IT_number 123
_space_group_name_Hall '-P 4 2'
_cell_length_a 4.302
_cell_length_b 4.302
_cell_length_c 4.938
_cell_angle_alpha 90.00
_cell_angle_beta 90.00
_cell_angle_gamma 90.00
loop_
_atom_site_label
_atom_site_fract_x
_atom_site_fract_y
_atom_site_fract_z
Sc1 0.000 0.000 0.000
Ge1 0.500 0.500 0.000
Ru1 0.000 0.500 0.500
S1 0.500 0.500 0.500
```

---

The least stable of them is run w.

---

Run w
VASP calculation (PBE) on a geometry-optimized GeSbRu3 structure.

Computed properties:
Density ... 8.79 g cm⁻³

Geometry as CIF:
```
data_GeSbRu3
_chemical_formula_sum 'Ge1 Sb1 Ru3'
_space_group_name_H-M_alt 'P m -3 m'
_space_group_IT_number 221
_space_group_name_Hall '-P 4 2 3'
_cell_length_a 4.547
_cell_length_b 4.547
_cell_length_c 4.547
_cell_angle_alpha 90.00
_cell_angle_beta 90.00
_cell_angle_gamma 90.00
loop_
_atom_site_label
_atom_site_fract_x
_atom_site_fract_y
_atom_site_fract_z
Ge1 0.000 0.000 0.000
Sb1 0.500 0.500 0.500
Ru1 0.000 0.000 0.500
```

---

Run x
VASP calculation (PBE) on a geometry-optimized GeSbRu3 structure.

Computed properties:
Density ... 7.22 g cm⁻³

Geometry as CIF:
```
data_GeSbRu3
_chemical_formula_sum 'Ge1 Sb1 Ru3'
_space_group_name_H-M_alt 'P m -3 m'
_space_group_IT_number 221
_space_group_name_Hall '-P 4 2 3'
_cell_length_a 4.855
_cell_length_b 4.855
_cell_length_c 4.855
_cell_angle_alpha 90.00
_cell_angle_beta 90.00
_cell_angle_gamma 90.00
loop_
_atom_site_label
_atom_site_fract_x
_atom_site_fract_y
_atom_site_fract_z
Ge1 0.000 0.000 0.000
Sb1 0.500 0.500 0.500
Ru1 0.000 0.500 0.500
```

---

The least stable of them is run x.